(1)
Compound: Li4CaAu5
Source: Alexandria
Functional: PBE-GGA
Structure: relaxed

## Properties
Density   10.23 g cm⁻³
Total DFT energy (no corrections)   -3.1914 eV/atom
M_tot   0.00 μB per cell
Formation energy from the elements   -0.59 eV per atom
D(E_F)   1.3 states/eV per cell
V   17.09 Å³ per atom

abc: 3.2863 3.2863 15.8290
angles: 90.00 90.00 90.00
Space group P4/mmm (No. 123)
Asymmetric unit:
Li 0.0000 0.0000 0.0924
Li 0.0000 0.0000 0.2776
Ca 0.0000 0.0000 0.5000
Au 0.5000 0.5000 0.0000
Au 0.5000 0.5000 0.1851
Au 0.5000 0.5000 0.3711

=====

(2)
Compound: NaAcAg2Cl6
Source: Alexandria
Functional: PBE-GGA
Structure: relaxed

## Properties
Density   3.82 g cm⁻³
Total DFT energy (no corrections)   -3.7048 eV/atom
M_tot   0.00 μB per cell
D(E_F)   0.0 states/eV per cell
V   29.50 Å³ per atom

abc: 7.1277 7.2210 7.7096
angles: 90.43 116.70 119.46
Space group P1 (No. 1)
Asymmetric unit:
Na 0.0000 0.0000 0.0000
Ac 0.9870 0.4954 0.4802
Ag 0.4765 0.2355 0.7140
Ag 0.5635 0.7968 0.3626
Cl 0.1232 0.2267 0.7242
Cl 0.1531 0.4006 0.2347
Cl 0.4957 0.1002 0.2190
Cl 0.5048 0.8980 0.6985
Cl 0.8354 0.7561 0.2445
Cl 0.8382 0.6006 0.7411